Material: ZnGeTeRh2
Method: DFT, GGA-PBE
State: optimized geometry

a = 4.727 Å, b = 4.456 Å, c = 4.727 Å
α = 90.00°, β = 90.00°, γ = 90.00°
Atoms (fractional coordinates):
Ge (0.000, 0.500, 0.000)
Te (0.500, 0.500, 0.500)
Rh (0.000, 0.000, 0.500)
Rh (0.500, 0.000, 0.000)
Zn (0.000, 0.000, 0.000)

Calculated values
Magnetization in Bohr magnetons per cell: 0.002
Formation energy (no corrections) in eV/atom: 0.625


Material: Th4GeRh12
Method: DFT, GGA-PBE
State: optimized geometry

a = 7.318 Å, b = 7.318 Å, c = 7.318 Å
α = 109.47°, β = 109.47°, γ = 109.47°
Atoms (fractional coordinates):
Th (0.000, 0.000, 0.500)
Th (0.500, 0.000, 0.000)
Th (0.500, 0.500, 0.500)
Th (0.000, 0.500, 0.000)
Ge (0.000, 0.000, 0.000)
Rh (0.000, 0.284, 0.284)
Rh (0.000, 0.716, 0.716)
Rh (0.716, 0.716, 0.000)
Rh (0.284, 0.284, 0.000)
Rh (0.284, 0.000, 0.284)
Rh (0.716, 0.000, 0.716)
Rh (0.500, 0.250, 0.750)
Rh (0.500, 0.750, 0.250)
Rh (0.750, 0.250, 0.500)
Rh (0.250, 0.750, 0.500)
Rh (0.750, 0.500, 0.250)
Rh (0.250, 0.500, 0.750)

Calculated values
Formation enthalpy at 0 K in eV per atom: -0.79
Magnetization in Bohr magnetons per cell: 0.000


Material: Th4Ge6Rh7
Method: DFT, GGA-PBE
State: optimized geometry

a = 7.461 Å, b = 7.461 Å, c = 7.461 Å
α = 109.47°, β = 109.47°, γ = 109.47°
Atoms (fractional coordinates):
Th (0.500, 0.000, 0.000)
Th (0.500, 0.500, 0.500)
Th (0.000, 0.500, 0.000)
Th (0.000, 0.000, 0.500)
Ge (0.676, 0.000, 0.676)
Ge (0.676, 0.676, 0.000)
Ge (0.000, 0.324, 0.324)
Ge (0.324, 0.000, 0.324)
Ge (0.324, 0.324, 0.000)
Ge (0.000, 0.676, 0.676)
Rh (0.750, 0.500, 0.250)
Rh (0.250, 0.750, 0.500)
Rh (0.500, 0.750, 0.250)
Rh (0.750, 0.250, 0.500)
Rh (0.250, 0.500, 0.750)
Rh (0.500, 0.250, 0.750)
Rh (0.000, 0.000, 0.000)

Calculated values
Formation enthalpy at 0 K in eV per atom: -0.91
Magnetization in Bohr magnetons per cell: 0.000


Material: ThGe3Rh2
Method: DFT, GGA-PBE
State: optimized geometry

a = 4.215 Å, b = 8.463 Å, c = 9.879 Å
α = 104.20°, β = 90.00°, γ = 104.42°
Atoms (fractional coordinates):
Th (0.154, 0.308, 0.703)
Th (0.846, 0.692, 0.297)
Th (0.000, 0.000, 0.000)
Ge (0.048, 0.097, 0.360)
Ge (0.952, 0.903, 0.640)
Ge (0.219, 0.438, 0.369)
Ge (0.781, 0.562, 0.631)
Ge (0.641, 0.282, 0.186)
Ge (0.359, 0.718, 0.814)
Ge (0.500, 0.000, 0.500)
Ge (0.353, 0.705, 0.070)
Ge (0.647, 0.295, 0.930)
Rh (0.202, 0.404, 0.090)
Rh (0.798, 0.596, 0.910)
Rh (0.495, 0.991, 0.230)
Rh (0.505, 0.009, 0.770)
Rh (0.355, 0.710, 0.548)
Rh (0.645, 0.290, 0.452)

Calculated values
Formation enthalpy at 0 K in eV per atom: -0.68
Magnetization in Bohr magnetons per cell: 0.000


Material: Th3Ge2Rh7
Method: DFT, GGA-PBE
State: optimized geometry

a = 4.057 Å, b = 4.126 Å, c = 14.489 Å
α = 98.19°, β = 90.00°, γ = 90.00°
Atoms (fractional coordinates):
Th (0.500, 0.500, 0.000)
Th (0.500, 0.699, 0.398)
Th (0.500, 0.301, 0.602)
Ge (0.000, 0.916, 0.832)
Ge (0.000, 0.084, 0.168)
Rh (0.000, 0.371, 0.741)
Rh (0.000, 0.790, 0.579)
Rh (0.000, 0.000, 0.000)
Rh (0.000, 0.629, 0.259)
Rh (0.500, 0.131, 0.263)
Rh (0.500, 0.869, 0.737)
Rh (0.000, 0.210, 0.421)

Calculated values
Formation enthalpy at 0 K in eV per atom: -0.69
Magnetization in Bohr magnetons per cell: 0.000
Excess energy over the best structure of this formula in the dataset in eV/atom: 0.127


Material: Th2Ge7Rh12
Method: DFT, GGA-PBE
State: optimized geometry

a = 3.947 Å, b = 10.013 Å, c = 10.013 Å
α = 120.00°, β = 90.00°, γ = 90.00°
Atoms (fractional coordinates):
Th (0.500, 0.000, 0.000)
Th (0.000, 0.667, 0.333)
Ge (0.000, 0.333, 0.667)
Ge (0.000, 0.048, 0.776)
Ge (0.000, 0.728, 0.952)
Ge (0.000, 0.224, 0.272)
Ge (0.500, 0.627, 0.562)
Ge (0.500, 0.935, 0.373)
Ge (0.500, 0.438, 0.065)
Rh (0.500, 0.891, 0.603)
Rh (0.500, 0.712, 0.109)
Rh (0.500, 0.397, 0.288)
Rh (0.500, 0.219, 0.797)
Rh (0.500, 0.578, 0.781)
Rh (0.500, 0.203, 0.422)
Rh (0.000, 0.058, 0.537)
Rh (0.000, 0.479, 0.942)
Rh (0.000, 0.463, 0.521)
Rh (0.000, 0.783, 0.736)
Rh (0.000, 0.954, 0.217)
Rh (0.000, 0.264, 0.046)

Calculated values
Formation enthalpy at 0 K in eV per atom: -0.73
Magnetization in Bohr magnetons per cell: 0.000


Material: Th2Ge4Rh5
Method: DFT, GGA-PBE
State: optimized geometry

a = 5.690 Å, b = 5.646 Å, c = 7.875 Å
α = 79.51°, β = 68.82°, γ = 59.74°
Atoms (fractional coordinates):
Th (0.866, 0.000, 0.267)
Th (0.134, 0.000, 0.733)
Ge (0.479, 0.305, 0.737)
Ge (0.521, 0.695, 0.263)
Ge (0.216, 0.305, 0.263)
Ge (0.784, 0.695, 0.737)
Rh (0.500, 0.000, 0.000)
Rh (0.000, 0.500, 0.000)
Rh (0.500, 0.500, 0.000)
Rh (0.250, 0.500, 0.500)
Rh (0.750, 0.500, 0.500)

Calculated values
Formation enthalpy at 0 K in eV per atom: -0.76
Magnetization in Bohr magnetons per cell: 0.000


Material: ThGe2Rh5
Method: DFT, GGA-PBE
State: optimized geometry

a = 3.913 Å, b = 6.385 Å, c = 6.385 Å
α = 65.73°, β = 72.15°, γ = 72.15°
Atoms (fractional coordinates):
Th (0.000, 0.000, 0.000)
Ge (0.760, 0.740, 0.740)
Ge (0.240, 0.260, 0.260)
Rh (0.000, 0.500, 0.500)
Rh (0.641, 0.560, 0.159)
Rh (0.359, 0.440, 0.841)
Rh (0.359, 0.841, 0.440)
Rh (0.641, 0.159, 0.560)

Calculated values
Formation enthalpy at 0 K in eV per atom: -0.64
Magnetization in Bohr magnetons per cell: 0.000


Material: Th3Ge4Rh2
Method: DFT, GGA-PBE
State: optimized geometry

a = 4.367 Å, b = 5.942 Å, c = 8.465 Å
α = 107.28°, β = 90.00°, γ = 111.56°
Atoms (fractional coordinates):
Th (0.627, 0.255, 0.691)
Th (0.000, 0.000, 0.000)
Th (0.373, 0.745, 0.309)
Ge (0.712, 0.424, 0.071)
Ge (0.288, 0.576, 0.929)
Ge (0.914, 0.827, 0.609)
Ge (0.086, 0.173, 0.391)
Rh (0.693, 0.387, 0.366)
Rh (0.307, 0.613, 0.634)

Calculated values
Formation enthalpy at 0 K in eV per atom: -0.84
Magnetization in Bohr magnetons per cell: 0.000
Excess energy over the best structure of this formula in the dataset in eV/atom: 0.046


Material: Th3Ge4Rh2
Method: DFT, GGA-PBE
State: optimized geometry

a = 4.379 Å, b = 5.965 Å, c = 8.329 Å
α = 102.31°, β = 90.00°, γ = 111.53°
Atoms (fractional coordinates):
Th (0.663, 0.326, 0.659)
Th (0.000, 0.000, 0.000)
Th (0.337, 0.674, 0.341)
Ge (0.730, 0.461, 0.074)
Ge (0.270, 0.539, 0.926)
Ge (0.937, 0.875, 0.609)
Ge (0.063, 0.125, 0.391)
Rh (0.596, 0.192, 0.272)
Rh (0.404, 0.808, 0.728)

Calculated values
Formation enthalpy at 0 K in eV per atom: -0.89
Magnetization in Bohr magnetons per cell: 0.000
Excess energy over the best structure of this formula in the dataset in eV/atom: 0.000


Material: Th3Ge2Rh4
Method: DFT, GGA-PBE
State: optimized geometry

a = 4.168 Å, b = 5.872 Å, c = 9.066 Å
α = 114.02°, β = 90.00°, γ = 110.79°
Atoms (fractional coordinates):
Th (0.634, 0.267, 0.699)
Th (0.000, 0.000, 0.000)
Th (0.366, 0.733, 0.301)
Ge (0.664, 0.327, 0.329)
Ge (0.336, 0.673, 0.671)
Rh (0.703, 0.406, 0.071)
Rh (0.297, 0.594, 0.929)
Rh (0.909, 0.817, 0.582)
Rh (0.091, 0.183, 0.418)

Calculated values
Formation enthalpy at 0 K in eV per atom: -0.88
Magnetization in Bohr magnetons per cell: 0.000


Material: Th3Ge2Rh7
Method: DFT, GGA-PBE
State: optimized geometry

a = 4.124 Å, b = 4.124 Å, c = 13.597 Å
α = 98.72°, β = 98.72°, γ = 90.00°
Atoms (fractional coordinates):
Th (0.326, 0.326, 0.653)
Th (0.674, 0.674, 0.347)
Th (0.500, 0.500, 0.000)
Ge (0.130, 0.130, 0.260)
Ge (0.870, 0.870, 0.740)
Rh (0.000, 0.000, 0.000)
Rh (0.919, 0.419, 0.838)
Rh (0.419, 0.919, 0.838)
Rh (0.081, 0.581, 0.162)
Rh (0.581, 0.081, 0.162)
Rh (0.223, 0.223, 0.445)
Rh (0.777, 0.777, 0.555)

Calculated values
Formation enthalpy at 0 K in eV per atom: -0.81
Magnetization in Bohr magnetons per cell: 0.000
Excess energy over the best structure of this formula in the dataset in eV/atom: 0.000


Material: Th2Ge3Rh6
Method: DFT, GGA-PBE
State: optimized geometry

a = 4.549 Å, b = 7.118 Å, c = 7.118 Å
α = 120.00°, β = 90.00°, γ = 90.00°
Atoms (fractional coordinates):
Th (0.000, 0.667, 0.333)
Th (0.000, 0.333, 0.667)
Ge (0.500, 0.397, 0.397)
Ge (0.500, 0.603, 0.000)
Ge (0.500, 0.000, 0.603)
Rh (0.500, 0.745, 0.745)
Rh (0.500, 0.000, 0.255)
Rh (0.000, 0.225, 0.225)
Rh (0.000, 0.775, 0.000)
Rh (0.500, 0.255, 0.000)
Rh (0.000, 0.000, 0.775)

Calculated values
Formation enthalpy at 0 K in eV per atom: -0.73
Magnetization in Bohr magnetons per cell: 0.000


Material: Th2GeRh
Method: DFT, GGA-PBE
State: optimized geometry

a = 4.155 Å, b = 5.996 Å, c = 8.541 Å
α = 111.93°, β = 90.00°, γ = 90.00°
Atoms (fractional coordinates):
Th (0.750, 0.219, 0.440)
Th (0.250, 0.781, 0.560)
Th (0.250, 0.781, 0.091)
Th (0.750, 0.219, 0.909)
Ge (0.250, 0.336, 0.201)
Ge (0.750, 0.664, 0.799)
Rh (0.750, 0.673, 0.299)
Rh (0.250, 0.327, 0.701)

Calculated values
Formation enthalpy at 0 K in eV per atom: -0.81
Magnetization in Bohr magnetons per cell: 0.000


Material: Th2Ge3Rh5
Method: DFT, GGA-PBE
State: optimized geometry

a = 5.889 Å, b = 8.437 Å, c = 8.437 Å
α = 84.57°, β = 69.57°, γ = 69.57°
Atoms (fractional coordinates):
Th (0.132, 0.593, 0.142)
Th (0.632, 0.142, 0.593)
Th (0.868, 0.407, 0.858)
Th (0.368, 0.858, 0.407)
Ge (0.360, 0.529, 0.750)
Ge (0.860, 0.750, 0.529)
Ge (0.640, 0.471, 0.250)
Ge (0.140, 0.250, 0.471)
Ge (0.250, 0.000, 0.000)
Ge (0.750, 0.000, 0.000)
Rh (0.398, 0.281, 0.924)
Rh (0.898, 0.924, 0.281)
Rh (0.602, 0.719, 0.076)
Rh (0.102, 0.076, 0.719)
Rh (0.475, 0.775, 0.775)
Rh (0.525, 0.225, 0.225)
Rh (0.750, 0.500, 0.500)
Rh (0.250, 0.500, 0.500)
Rh (0.025, 0.225, 0.225)
Rh (0.975, 0.775, 0.775)

Calculated values
Formation enthalpy at 0 K in eV per atom: -0.85
Magnetization in Bohr magnetons per cell: 0.000
Excess energy over the best structure of this formula in the dataset in eV/atom: 0.000


Material: Th2Ge5Rh3
Method: DFT, GGA-PBE
State: optimized geometry

a = 6.154 Å, b = 8.446 Å, c = 8.446 Å
α = 74.02°, β = 68.63°, γ = 68.63°
Atoms (fractional coordinates):
Th (0.134, 0.597, 0.135)
Th (0.634, 0.135, 0.597)
Th (0.866, 0.403, 0.865)
Th (0.366, 0.865, 0.403)
Ge (0.399, 0.258, 0.944)
Ge (0.899, 0.944, 0.258)
Ge (0.601, 0.742, 0.056)
Ge (0.101, 0.056, 0.742)
Ge (0.475, 0.775, 0.775)
Ge (0.525, 0.225, 0.225)
Ge (0.750, 0.500, 0.500)
Ge (0.250, 0.500, 0.500)
Ge (0.025, 0.225, 0.225)
Ge (0.975, 0.775, 0.775)
Rh (0.360, 0.531, 0.750)
Rh (0.860, 0.750, 0.531)
Rh (0.640, 0.469, 0.250)
Rh (0.140, 0.250, 0.469)
Rh (0.250, 0.000, 0.000)
Rh (0.750, 0.000, 0.000)

Calculated values
Formation enthalpy at 0 K in eV per atom: -0.83
Magnetization in Bohr magnetons per cell: 0.000


Material: Th2Ge3Rh5
Method: DFT, GGA-PBE
State: optimized geometry

a = 4.166 Å, b = 6.809 Å, c = 12.831 Å
α = 90.00°, β = 99.34°, γ = 90.00°
Atoms (fractional coordinates):
Th (0.476, 0.730, 0.952)
Th (0.176, 0.768, 0.352)
Th (0.824, 0.268, 0.648)
Th (0.524, 0.230, 0.048)
Ge (0.781, 0.799, 0.562)
Ge (0.625, 0.449, 0.250)
Ge (0.049, 0.915, 0.097)
Ge (0.219, 0.299, 0.438)
Ge (0.951, 0.415, 0.903)
Ge (0.375, 0.949, 0.750)
Rh (0.400, 0.385, 0.800)
Rh (0.302, 0.578, 0.603)
Rh (0.698, 0.078, 0.397)
Rh (0.120, 0.191, 0.240)
Rh (0.277, 0.004, 0.553)
Rh (0.945, 0.046, 0.890)
Rh (0.723, 0.504, 0.447)
Rh (0.880, 0.691, 0.760)
Rh (0.055, 0.546, 0.110)
Rh (0.600, 0.885, 0.200)

Calculated values
Formation enthalpy at 0 K in eV per atom: -0.77
Magnetization in Bohr magnetons per cell: 0.000
Excess energy over the best structure of this formula in the dataset in eV/atom: 0.076


Material: ThGe12Rh4
Method: DFT, GGA-PBE
State: optimized geometry

a = 7.477 Å, b = 7.477 Å, c = 7.477 Å
α = 109.47°, β = 109.47°, γ = 109.47°
Atoms (fractional coordinates):
Th (0.000, 0.000, 0.000)
Ge (0.847, 0.350, 0.197)
Ge (0.350, 0.504, 0.153)
Ge (0.803, 0.153, 0.650)
Ge (0.350, 0.197, 0.847)
Ge (0.197, 0.847, 0.350)
Ge (0.650, 0.496, 0.847)
Ge (0.504, 0.153, 0.350)
Ge (0.496, 0.847, 0.650)
Ge (0.650, 0.803, 0.153)
Ge (0.847, 0.650, 0.496)
Ge (0.153, 0.350, 0.504)
Ge (0.153, 0.650, 0.803)
Rh (0.000, 0.500, 0.000)
Rh (0.500, 0.000, 0.000)
Rh (0.500, 0.500, 0.500)
Rh (0.000, 0.000, 0.500)

Calculated values
Formation enthalpy at 0 K in eV per atom: -0.30
Magnetization in Bohr magnetons per cell: 0.000


Material: Th2Ge2Rh3
Method: DFT, GGA-PBE
State: optimized geometry

a = 4.140 Å, b = 5.750 Å, c = 6.392 Å
α = 99.49°, β = 90.00°, γ = 111.10°
Atoms (fractional coordinates):
Th (0.620, 0.239, 0.282)
Th (0.380, 0.761, 0.718)
Ge (0.099, 0.198, 0.660)
Ge (0.901, 0.802, 0.340)
Rh (0.314, 0.627, 0.141)
Rh (0.000, 0.000, 0.000)
Rh (0.686, 0.373, 0.859)

Calculated values
Formation enthalpy at 0 K in eV per atom: -0.84
Magnetization in Bohr magnetons per cell: 0.000


Material: Th2GeRh4
Method: DFT, GGA-PBE
State: optimized geometry

a = 4.865 Å, b = 4.865 Å, c = 7.649 Å
α = 89.44°, β = 115.16°, γ = 110.29°
Atoms (fractional coordinates):
Ge (0.000, 0.000, 0.000)
Rh (0.888, 0.762, 0.650)
Rh (0.112, 0.238, 0.350)
Rh (0.000, 0.500, 0.000)
Rh (0.500, 0.000, 0.000)
Th (0.700, 0.570, 0.270)
Th (0.300, 0.430, 0.730)

Calculated values
Formation enthalpy at 0 K in eV per atom: -0.64
Magnetization in Bohr magnetons per cell: 0.000